Below is an optimized crystal structure of Tb3Dy7Mg, with properties calculated at the PBE level.

spin magnetization = 0.00 μB per formula unit
density of states at the Fermi level = 15.6 states/eV/f.u.
crystal system = trigonal
space-group type = P3m1
E_tot = -4.14 eV/atom

Geometry as CIF:
```
data_Tb3Dy7Mg
_chemical_formula_sum 'Tb3 Dy7 Mg1'
_space_group_name_H-M_alt 'P 1'
_space_group_IT_number 1
_cell_length_a 6.975
_cell_length_b 6.975
_cell_length_c 8.544
_cell_angle_alpha 90.00
_cell_angle_beta 90.00
_cell_angle_gamma 120.00
loop_
_space_group_symop_operation_xyz
'x,y,z'
loop_
_atom_site_label
_atom_site_fract_x
_atom_site_fract_y
_atom_site_fract_z
Tb1 0.168 0.337 0.000
Tb2 0.168 0.832 0.000
Tb3 0.663 0.832 0.000
Dy1 0.006 0.503 0.339
Dy2 0.333 0.166 0.665
Dy3 0.333 0.667 0.669
Dy4 0.497 0.503 0.339
Dy5 0.497 0.994 0.339
Dy6 0.834 0.166 0.665
Dy7 0.834 0.667 0.665
Mg1 0.000 0.000 0.340
```

---

Below is an optimized crystal structure of Tb14DyMg, with properties calculated at the PBE level.

spin magnetization = 0.00 μB per formula unit
density of states at the Fermi level = 20.5 states/eV/f.u.
crystal system = orthorhombic
space-group type = Amm2
E_tot = -4.42 eV/atom

Geometry as CIF:
```
data_Tb14DyMg
_chemical_formula_sum 'Tb14 Dy1 Mg1'
_space_group_name_H-M_alt 'P 1'
_space_group_IT_number 1
_cell_length_a 10.017
_cell_length_b 7.078
_cell_length_c 7.078
_cell_angle_alpha 90.00
_cell_angle_beta 90.00
_cell_angle_gamma 90.00
loop_
_space_group_symop_operation_xyz
'x,y,z'
loop_
_atom_site_label
_atom_site_fract_x
_atom_site_fract_y
_atom_site_fract_z
Tb1 0.000 0.000 0.000
Tb2 0.000 0.000 0.500
Tb3 0.000 0.500 0.000
Tb4 0.000 0.500 0.500
Tb5 0.251 0.249 0.249
Tb6 0.251 0.249 0.751
Tb7 0.251 0.751 0.249
Tb8 0.251 0.751 0.751
Tb9 0.500 0.000 0.500
Tb10 0.500 0.500 0.000
Tb11 0.749 0.249 0.249
Tb12 0.749 0.249 0.751
Tb13 0.749 0.751 0.249
Tb14 0.749 0.751 0.751
Dy1 0.500 0.000 0.000
Mg1 0.500 0.499 0.499
```

---

Below is an optimized crystal structure of Tb7Dy4Mg, with properties calculated at the PBE level.

offset from the most stable computed form = 0 meV per atom
spin magnetization = 0.00 μB per formula unit
density of states at the Fermi level = 24.8 states/eV/f.u.
crystal system = trigonal
space-group type = P-3m1
E_tot = -4.27 eV/atom

Geometry as CIF:
```
data_Tb7Dy4Mg
_chemical_formula_sum 'Tb7 Dy4 Mg1'
_space_group_name_H-M_alt 'P 1'
_space_group_IT_number 1
_cell_length_a 5.585
_cell_length_b 5.585
_cell_length_c 13.940
_cell_angle_alpha 90.00
_cell_angle_beta 90.00
_cell_angle_gamma 120.00
loop_
_space_group_symop_operation_xyz
'x,y,z'
loop_
_atom_site_label
_atom_site_fract_x
_atom_site_fract_y
_atom_site_fract_z
Tb1 0.000 0.000 0.000
Tb2 0.000 0.000 0.268
Tb3 0.000 0.000 0.732
Tb4 0.333 0.667 0.174
Tb5 0.333 0.667 0.424
Tb6 0.667 0.333 0.576
Tb7 0.667 0.333 0.826
Dy1 0.333 0.667 0.683
Dy2 0.333 0.667 0.928
Dy3 0.667 0.333 0.072
Dy4 0.667 0.333 0.317
Mg1 0.000 0.000 0.500
```

---

Below is an optimized crystal structure of Tb3Dy2Mg, with properties calculated at the PBE level.

offset from the most stable computed form = 0 meV per atom
spin magnetization = 0.00 μB per formula unit
density of states at the Fermi level = 8.0 states/eV/f.u.
crystal system = tetragonal
space-group type = P4/mmm
E_tot = -4.13 eV/atom

Geometry as CIF:
```
data_Tb3Dy2Mg
_chemical_formula_sum 'Tb3 Dy2 Mg1'
_space_group_name_H-M_alt 'P 1'
_space_group_IT_number 1
_cell_length_a 3.563
_cell_length_b 3.563
_cell_length_c 14.355
_cell_angle_alpha 90.00
_cell_angle_beta 90.00
_cell_angle_gamma 90.00
loop_
_space_group_symop_operation_xyz
'x,y,z'
loop_
_atom_site_label
_atom_site_fract_x
_atom_site_fract_y
_atom_site_fract_z
Tb1 0.000 0.000 0.000
Tb2 0.000 0.000 0.346
Tb3 0.000 0.000 0.654
Dy1 0.500 0.500 0.175
Dy2 0.500 0.500 0.825
Mg1 0.500 0.500 0.500
```

---

Below is an optimized crystal structure of Tb2DyMg, with properties calculated at the PBE level.

offset from the most stable computed form = 68 meV per atom
spin magnetization = 0.00 μB per formula unit
density of states at the Fermi level = 5.0 states/eV/f.u.
crystal system = tetragonal
space-group type = P4/mmm
E_tot = -3.82 eV/atom

Geometry as CIF:
```
data_Tb2DyMg
_chemical_formula_sum 'Tb2 Dy1 Mg1'
_space_group_name_H-M_alt 'P 1'
_space_group_IT_number 1
_cell_length_a 5.547
_cell_length_b 5.547
_cell_length_c 3.851
_cell_angle_alpha 90.00
_cell_angle_beta 90.00
_cell_angle_gamma 90.00
loop_
_space_group_symop_operation_xyz
'x,y,z'
loop_
_atom_site_label
_atom_site_fract_x
_atom_site_fract_y
_atom_site_fract_z
Tb1 0.000 0.500 0.000
Tb2 0.500 0.000 0.000
Dy1 0.000 0.000 0.500
Mg1 0.500 0.500 0.500
```

---

Below is an optimized crystal structure of Tb4Dy2Mg, with properties calculated at the PBE level.

offset from the most stable computed form = 0 meV per atom
spin magnetization = 0.00 μB per formula unit
density of states at the Fermi level = 9.7 states/eV/f.u.
crystal system = monoclinic
space-group type = P2_1/m
E_tot = -4.09 eV/atom

Geometry as CIF:
```
data_Tb4Dy2Mg
_chemical_formula_sum 'Tb8 Dy4 Mg2'
_space_group_name_H-M_alt 'P 1'
_space_group_IT_number 1
_cell_length_a 5.989
_cell_length_b 6.545
_cell_length_c 11.454
_cell_angle_alpha 90.00
_cell_angle_beta 105.13
_cell_angle_gamma 90.00
loop_
_space_group_symop_operation_xyz
'x,y,z'
loop_
_atom_site_label
_atom_site_fract_x
_atom_site_fract_y
_atom_site_fract_z
Tb1 0.023 0.250 0.375
Tb2 0.149 0.250 0.941
Tb3 0.358 0.001 0.213
Tb4 0.358 0.499 0.213
Tb5 0.642 0.501 0.787
Tb6 0.642 0.999 0.787
Tb7 0.851 0.750 0.059
Tb8 0.977 0.750 0.625
Dy1 0.278 0.750 0.923
Dy2 0.399 0.750 0.496
Dy3 0.601 0.250 0.504
Dy4 0.722 0.250 0.077
Mg1 0.150 0.250 0.665
Mg2 0.850 0.750 0.335
```

---

Below is an optimized crystal structure of Tb3Dy3Mg, with properties calculated at the PBE level.

offset from the most stable computed form = 82 meV per atom
spin magnetization = 0.00 μB per formula unit
density of states at the Fermi level = 9.7 states/eV/f.u.
crystal system = trigonal
space-group type = R-3
E_tot = -4.08 eV/atom

Geometry as CIF:
```
data_Tb3Dy3Mg
_chemical_formula_sum 'Tb6 Dy6 Mg2'
_space_group_name_H-M_alt 'P 1'
_space_group_IT_number 1
_cell_length_a 14.358
_cell_length_b 14.358
_cell_length_c 14.358
_cell_angle_alpha 24.70
_cell_angle_beta 24.70
_cell_angle_gamma 24.70
loop_
_space_group_symop_operation_xyz
'x,y,z'
loop_
_atom_site_label
_atom_site_fract_x
_atom_site_fract_y
_atom_site_fract_z
Tb1 0.064 0.400 0.729
Tb2 0.271 0.936 0.600
Tb3 0.400 0.729 0.064
Tb4 0.600 0.271 0.936
Tb5 0.729 0.064 0.400
Tb6 0.936 0.600 0.271
Dy1 0.132 0.799 0.465
Dy2 0.201 0.535 0.868
Dy3 0.465 0.132 0.799
Dy4 0.535 0.868 0.201
Dy5 0.799 0.465 0.132
Dy6 0.868 0.201 0.535
Mg1 0.333 0.333 0.333
Mg2 0.667 0.667 0.667
```

---

Below is an optimized crystal structure of Tb3Dy2Mg7, with properties calculated at the PBE level.

spin magnetization = 0.51 μB per formula unit
density of states at the Fermi level = 12.9 states/eV/f.u.
crystal system = orthorhombic
space-group type = Cmmm
E_tot = -2.74 eV/atom

Geometry as CIF:
```
data_Tb3Dy2Mg7
_chemical_formula_sum 'Tb3 Dy2 Mg7'
_space_group_name_H-M_alt 'P 1'
_space_group_IT_number 1
_cell_length_a 13.160
_cell_length_b 13.160
_cell_length_c 5.161
_cell_angle_alpha 90.00
_cell_angle_beta 90.00
_cell_angle_gamma 157.46
loop_
_space_group_symop_operation_xyz
'x,y,z'
loop_
_atom_site_label
_atom_site_fract_x
_atom_site_fract_y
_atom_site_fract_z
Tb1 0.000 0.000 0.000
Tb2 0.159 0.841 0.000
Tb3 0.841 0.159 0.000
Dy1 0.356 0.644 0.500
Dy2 0.644 0.356 0.500
Mg1 0.072 0.928 0.500
Mg2 0.230 0.770 0.500
Mg3 0.428 0.572 0.000
Mg4 0.500 0.500 0.500
Mg5 0.572 0.428 0.000
Mg6 0.770 0.230 0.500
Mg7 0.928 0.072 0.500
```

---

Below is an optimized crystal structure of TbDyMg, with properties calculated at the PBE level.

offset from the most stable computed form = 82 meV per atom
spin magnetization = 0.00 μB per formula unit
density of states at the Fermi level = 3.8 states/eV/f.u.
crystal system = trigonal
space-group type = P3m1
E_tot = -3.57 eV/atom

Geometry as CIF:
```
data_TbDyMg
_chemical_formula_sum 'Tb1 Dy1 Mg1'
_space_group_name_H-M_alt 'P 1'
_space_group_IT_number 1
_cell_length_a 5.441
_cell_length_b 5.441
_cell_length_c 3.381
_cell_angle_alpha 90.00
_cell_angle_beta 90.00
_cell_angle_gamma 120.00
loop_
_space_group_symop_operation_xyz
'x,y,z'
loop_
_atom_site_label
_atom_site_fract_x
_atom_site_fract_y
_atom_site_fract_z
Tb1 0.000 0.000 0.000
Dy1 0.667 0.333 0.430
Mg1 0.333 0.667 0.709
```

---

Below is an optimized crystal structure of Tb9Dy4Mg11, with properties calculated at the PBE level.

spin magnetization = 0.00 μB per formula unit
density of states at the Fermi level = 28.2 states/eV/f.u.
crystal system = orthorhombic
space-group type = Cmmm
E_tot = -3.26 eV/atom

Geometry as CIF:
```
data_Tb9Dy4Mg11
_chemical_formula_sum 'Tb9 Dy4 Mg11'
_space_group_name_H-M_alt 'P 1'
_space_group_IT_number 1
_cell_length_a 13.950
_cell_length_b 13.950
_cell_length_c 3.623
_cell_angle_alpha 90.00
_cell_angle_beta 90.00
_cell_angle_gamma 107.95
loop_
_space_group_symop_operation_xyz
'x,y,z'
loop_
_atom_site_label
_atom_site_fract_x
_atom_site_fract_y
_atom_site_fract_z
Tb1 0.000 0.000 0.000
Tb2 0.122 0.654 0.000
Tb3 0.292 0.479 0.000
Tb4 0.346 0.878 0.000
Tb5 0.479 0.292 0.000
Tb6 0.521 0.708 0.000
Tb7 0.654 0.122 0.000
Tb8 0.708 0.521 0.000
Tb9 0.878 0.346 0.000
Dy1 0.081 0.249 0.000
Dy2 0.249 0.081 0.000
Dy3 0.751 0.919 0.000
Dy4 0.919 0.751 0.000
Mg1 0.088 0.447 0.500
Mg2 0.133 0.867 0.500
Mg3 0.284 0.284 0.500
Mg4 0.321 0.679 0.500
Mg5 0.447 0.088 0.500
Mg6 0.500 0.500 0.500
Mg7 0.553 0.912 0.500
Mg8 0.679 0.321 0.500
Mg9 0.716 0.716 0.500
Mg10 0.867 0.133 0.500
Mg11 0.912 0.553 0.500
```

---

Below is an optimized crystal structure of Tb5Dy2Mg5, with properties calculated at the PBE level.

offset from the most stable computed form = 42 meV per atom
spin magnetization = 0.00 μB per formula unit
density of states at the Fermi level = 13.5 states/eV/f.u.
crystal system = monoclinic
space-group type = C2/m
E_tot = -3.35 eV/atom

Geometry as CIF:
```
data_Tb5Dy2Mg5
_chemical_formula_sum 'Tb5 Dy2 Mg5'
_space_group_name_H-M_alt 'P 1'
_space_group_IT_number 1
_cell_length_a 6.592
_cell_length_b 6.592
_cell_length_c 11.357
_cell_angle_alpha 108.33
_cell_angle_beta 108.33
_cell_angle_gamma 47.36
loop_
_space_group_symop_operation_xyz
'x,y,z'
loop_
_atom_site_label
_atom_site_fract_x
_atom_site_fract_y
_atom_site_fract_z
Tb1 0.000 0.000 0.000
Tb2 0.105 0.105 0.755
Tb3 0.158 0.158 0.482
Tb4 0.842 0.842 0.518
Tb5 0.895 0.895 0.245
Dy1 0.411 0.411 0.758
Dy2 0.589 0.589 0.242
Mg1 0.257 0.257 0.259
Mg2 0.326 0.326 0.023
Mg3 0.500 0.500 0.500
Mg4 0.674 0.674 0.977
Mg5 0.743 0.743 0.741
```

---

Below is an optimized crystal structure of Tb12Dy6Mg, with properties calculated at the PBE level.

offset from the most stable computed form = 0 meV per atom
spin magnetization = 0.00 μB per formula unit
density of states at the Fermi level = 30.6 states/eV/f.u.
crystal system = trigonal
space-group type = R-3
E_tot = -4.33 eV/atom

Geometry as CIF:
```
data_Tb12Dy6Mg
_chemical_formula_sum 'Tb12 Dy6 Mg1'
_space_group_name_H-M_alt 'P 1'
_space_group_IT_number 1
_cell_length_a 8.483
_cell_length_b 8.483
_cell_length_c 8.483
_cell_angle_alpha 88.68
_cell_angle_beta 88.68
_cell_angle_gamma 88.68
loop_
_space_group_symop_operation_xyz
'x,y,z'
loop_
_atom_site_label
_atom_site_fract_x
_atom_site_fract_y
_atom_site_fract_z
Tb1 0.039 0.280 0.934
Tb2 0.066 0.961 0.720
Tb3 0.137 0.315 0.486
Tb4 0.280 0.934 0.039
Tb5 0.315 0.486 0.137
Tb6 0.486 0.137 0.315
Tb7 0.514 0.863 0.685
Tb8 0.685 0.514 0.863
Tb9 0.720 0.066 0.961
Tb10 0.863 0.685 0.514
Tb11 0.934 0.039 0.280
Tb12 0.961 0.720 0.066
Dy1 0.205 0.597 0.761
Dy2 0.239 0.795 0.403
Dy3 0.403 0.239 0.795
Dy4 0.597 0.761 0.205
Dy5 0.761 0.205 0.597
Dy6 0.795 0.403 0.239
Mg1 0.500 0.500 0.500
```